# 1
Computed, not measured: TlZnW after structural relaxation at the GGA-PBE level of DFT.

a b c (Å): 7.490 7.342 2.889
angles (deg): 81.67 75.89 22.44
Positions (direct):
1 W 0.679 0.679 0.321
2 Tl 0.003 0.003 0.997
3 Zn 0.318 0.318 0.682

energy of formation	0.72	eV/atom
E_tot	-4.8099	eV/atom
M_tot	0.00	μB per formula unit
polymorph energy (0 for the lowest one)	31.4	meV per atom



# 2
Computed, not measured: ZrW2Cl after structural relaxation at the GGA-PBE level of DFT.

a b c (Å): 3.713 3.713 11.196
angles (deg): 80.46 80.46 90.00
Positions (direct):
1 Zr 0.000 0.000 0.000
2 Zr 0.750 0.250 0.500
3 W 0.875 0.888 0.750
4 W 0.112 0.625 0.250
5 W 0.375 0.362 0.750
6 W 0.638 0.125 0.250
7 Cl 0.250 0.750 0.500
8 Cl 0.500 0.500 0.000

uncorrected formation energy	630	meV per atom
E_tot	-8.4448	eV/atom
M_tot	0.00	μB per formula unit
polymorph energy (0 for the lowest one)	662.9	meV per atom



# 3
Computed, not measured: Mg2CdTe after structural relaxation at the GGA-PBE level of DFT.

a b c (Å): 3.986 4.947 4.947
angles (deg): 90.00 90.00 90.00
Positions (direct):
1 Mg 0.000 0.500 0.500
2 Mg 0.000 0.000 0.000
3 Te 0.500 0.500 0.000
4 Cd 0.500 0.000 0.500

uncorrected formation energy	-182	meV per atom
E_tot	-1.9933	eV/atom
M_tot	0.00	μB per formula unit
polymorph energy (0 for the lowest one)	96.3	meV per atom



# 4
Computed, not measured: Cs3RbO8 after structural relaxation at the GGA-PBE level of DFT.

a b c (Å): 7.387 7.395 7.402
angles (deg): 67.12 77.08 112.81
Positions (direct):
1 O 0.406 0.000 0.927
2 O 0.885 0.000 0.637
3 O 0.594 0.667 0.406
4 O 0.073 0.000 0.594
5 O 0.115 0.477 0.886
6 O 0.927 0.333 0.073
7 O 0.638 0.523 0.363
8 O 0.363 0.000 0.114
9 Cs 0.250 0.500 0.250
10 Cs 0.500 0.000 0.500
11 Cs 0.750 0.500 0.750
12 Rb 0.000 0.000 0.000

uncorrected formation energy	-819	meV per atom
E_tot	-4.4190	eV/atom
M_tot	4.00	μB per formula unit



# 5
Computed, not measured: KCaLaW2 after structural relaxation at the GGA-PBE level of DFT.

a b c (Å): 5.037 5.906 5.037
angles (deg): 90.00 90.00 90.00
Positions (direct):
1 W 0.500 0.000 0.000
2 W 0.000 0.000 0.500
3 La 0.000 0.000 0.000
4 K 0.500 0.500 0.500
5 Ca 0.000 0.500 0.000

energy of formation	2.02	eV/atom
E_tot	-4.7670	eV/atom
M_tot	0.00	μB per formula unit



# 6
Computed, not measured: SrLi2InNi after structural relaxation at the GGA-PBE level of DFT.

a b c (Å): 5.056 6.259 5.056
angles (deg): 90.00 90.00 90.00
Positions (direct):
1 Li 0.000 0.000 0.500
2 Li 0.500 0.000 0.000
3 In 0.000 0.000 0.000
4 Sr 0.000 0.500 0.000
5 Ni 0.500 0.500 0.500

energy of formation	0.62	eV/atom
E_tot	-2.1859	eV/atom
M_tot	1.10	μB per formula unit
polymorph energy (0 for the lowest one)	710.3	meV per atom



We obtain N(E_F) values of 1.64; 8.01; 2.19; 13.50; 6.40; 7.73 states/eV/cell for the records listed above, in that order.